# CuPtW

Crystalline CuPtW at its relaxed geometry (PBE-GGA, the Alexandria database).

Values from the calculation:
DOS at the Fermi energy: 5.8 states/eV/f.u.
electronic total energy: -7.326 eV/atom
E_form: 0.3711 eV per atom

abc: 4.184 4.184 4.184
angles: 60.00 60.00 60.00
Fractional positions:
Pt: 0.750 0.750 0.750
Cu: 0.500 0.500 0.500
W: 0.000 0.000 0.000

# CuPtW

Crystalline CuPtW at its relaxed geometry (PBE-GGA, the Alexandria database).

Values from the calculation:
DOS at the Fermi energy: 3.7 states/eV/f.u.
electronic total energy: -7.610 eV/atom
E_form: 0.0866 eV per atom

abc: 2.789 2.789 6.630
angles: 90.00 90.00 120.00
Fractional positions:
W: 0.333 0.667 0.669
Cu: 0.000 0.000 0.999
Pt: 0.667 0.333 0.331

# CuPtW2

Crystalline CuPtW2 at its relaxed geometry (PBE-GGA, the Alexandria database).

Values from the calculation:
DOS at the Fermi energy: 5.4 states/eV/f.u.
electronic total energy: -8.525 eV/atom
E_form: 0.4863 eV per atom

abc: 4.420 4.420 4.420
angles: 60.00 60.00 60.00
Fractional positions:
Pt: 0.500 0.500 0.500
W: 0.250 0.250 0.250
W: 0.750 0.750 0.750
Cu: 0.000 0.000 0.000